The following is a PBE-GGA calculation of an optimized crystal structure of Pm2Pr8Tm, from the Alexandria database.

**Density of states at the Fermi level**: 17.19 states/eV/f.u.
**Formation enthalpy at 0 K**: 0.11 eV per atom
**Total DFT energy (no corrections)**: -51.02 eV for the cell shown
**Energy above the most stable polymorph in this dataset**: 0 meV per atom

```
data_Pm2Pr8Tm
_cell_length_a 5.7720
_cell_length_b 8.3750
_cell_length_c 9.6083
_cell_angle_alpha 115.84
_cell_angle_beta 107.48
_cell_angle_gamma 90.00
_space_group_name_H-M_alt 'P 1'
_space_group_IT_number 1
_space_group_name_Hall 'P 1'
loop_
_atom_site_label
_atom_site_type_symbol
_atom_site_fract_x
_atom_site_fract_y
_atom_site_fract_z
Pr1 Pr 0.6352 0.4298 0.2704
Pr2 Pr 0.3648 0.5702 0.7296
Pr3 Pr 0.8405 0.8404 0.6809
Pr4 Pr 0.6352 0.8406 0.2704
Pr5 Pr 0.0000 0.2917 0.0000
Pr6 Pr 0.1595 0.1596 0.3191
Pr7 Pr 0.3648 0.1594 0.7296
Pr8 Pr 0.0000 0.7083 0.0000
Pm1 Pm 0.7985 0.2985 0.5969
Pm2 Pm 0.2015 0.7015 0.4031
Tm1 Tm 0.5000 0.0000 0.0000
```

---

The following is a PBE-GGA calculation of an optimized crystal structure of Nd6Tl2Ge, from the Alexandria database.

**Density of states at the Fermi level**: 13.28 states/eV/f.u.
**Formation enthalpy at 0 K**: -0.38 eV per atom
**Total DFT energy (no corrections)**: -41.36 eV for the cell shown

```
data_Nd6Tl2Ge
_cell_length_a 4.1129
_cell_length_b 8.8253
_cell_length_c 8.8256
_cell_angle_alpha 120.00
_cell_angle_beta 90.00
_cell_angle_gamma 90.00
_space_group_name_H-M_alt 'P 1'
_space_group_IT_number 1
_space_group_name_Hall 'P 1'
loop_
_atom_site_label
_atom_site_type_symbol
_atom_site_fract_x
_atom_site_fract_y
_atom_site_fract_z
Nd1 Nd 0.5000 0.3929 0.3929
Nd2 Nd 0.0000 0.7427 0.7427
Nd3 Nd 0.5000 0.6072 0.0000
Nd4 Nd 0.5000 0.0000 0.6071
Nd5 Nd 0.0000 0.0000 0.2573
Nd6 Nd 0.0000 0.2574 0.0000
Tl1 Tl 0.0000 0.3333 0.6667
Tl2 Tl 0.0000 0.6666 0.3333
Ge1 Ge 0.5000 0.0000 0.0000
```

---

The following is a PBE-GGA calculation of an optimized crystal structure of CaSc2Te4, from the Alexandria database.

**Density of states at the Fermi level**: 0.08 states/eV/f.u.
**ΔE_f (raw)**: -1324 meV per atom
**Total DFT energy (no corrections)**: -73.00 eV for the cell shown
**Energy above the most stable polymorph in this dataset**: 0 meV per atom

```
data_CaSc2Te4
_cell_length_a 8.6878
_cell_length_b 8.5341
_cell_length_c 8.5341
_cell_angle_alpha 60.07
_cell_angle_beta 59.40
_cell_angle_gamma 59.40
_space_group_name_H-M_alt 'P 1'
_space_group_IT_number 1
_space_group_name_Hall 'P 1'
loop_
_atom_site_label
_atom_site_type_symbol
_atom_site_fract_x
_atom_site_fract_y
_atom_site_fract_z
Te1 Te 0.7494 0.2360 0.2652
Te2 Te 0.2506 0.7640 0.7348
Te3 Te 0.2449 0.2421 0.7421
Te4 Te 0.7494 0.7652 0.7360
Te5 Te 0.7551 0.7579 0.2579
Te6 Te 0.2506 0.2348 0.2640
Te7 Te 0.2290 0.7579 0.2579
Te8 Te 0.7710 0.2421 0.7421
Sc1 Sc 0.5000 0.0000 0.5000
Sc2 Sc 0.0000 0.0000 0.5000
Sc3 Sc 0.0000 0.5000 0.5000
Sc4 Sc 0.0000 0.0000 0.0000
Ca1 Ca 0.0000 0.5000 0.0000
Ca2 Ca 0.5000 0.5000 0.0000
```

---

The following is a PBE-GGA calculation of an optimized crystal structure of Ti12Al3Ni, from the Alexandria database.

**Density of states at the Fermi level**: 19.97 states/eV/f.u.
**Formation enthalpy at 0 K**: -0.21 eV per atom
**Total DFT energy (no corrections)**: -115.18 eV for the cell shown

```
data_Ti12Al3Ni
_cell_length_a 4.0193
_cell_length_b 4.0193
_cell_length_c 16.1215
_cell_angle_alpha 90.00
_cell_angle_beta 90.00
_cell_angle_gamma 90.00
_space_group_name_H-M_alt 'P 1'
_space_group_IT_number 1
_space_group_name_Hall 'P 1'
loop_
_atom_site_label
_atom_site_type_symbol
_atom_site_fract_x
_atom_site_fract_y
_atom_site_fract_z
Ti1 Ti 0.5000 0.5000 0.2454
Ti2 Ti 0.5000 0.0000 0.1203
Ti3 Ti 0.0000 0.5000 0.6259
Ti4 Ti 0.0000 0.5000 0.8797
Ti5 Ti 0.5000 0.0000 0.3741
Ti6 Ti 0.0000 0.5000 0.1203
Ti7 Ti 0.5000 0.0000 0.6259
Ti8 Ti 0.5000 0.5000 0.5000
Ti9 Ti 0.5000 0.5000 0.7546
Ti10 Ti 0.0000 0.5000 0.3741
Ti11 Ti 0.5000 0.5000 0.0000
Ti12 Ti 0.5000 0.0000 0.8797
Al1 Al 0.0000 0.0000 0.7542
Al2 Al 0.0000 0.0000 0.5000
Al3 Al 0.0000 0.0000 0.2458
Ni1 Ni 0.0000 0.0000 0.0000
```

---

The following is a PBE-GGA calculation of an optimized crystal structure of Cs2LiICl4, from the Alexandria database.

**Density of states at the Fermi level**: 0.00 states/eV/f.u.
**ΔE_f (raw)**: -1433 meV per atom
**Total DFT energy (no corrections)**: -48.04 eV for the cell shown

```
data_Cs2LiICl4
_cell_length_a 9.6228
_cell_length_b 9.6228
_cell_length_c 10.1355
_cell_angle_alpha 104.25
_cell_angle_beta 104.25
_cell_angle_gamma 121.28
_space_group_name_H-M_alt 'P 1'
_space_group_IT_number 1
_space_group_name_Hall 'P 1'
loop_
_atom_site_label
_atom_site_type_symbol
_atom_site_fract_x
_atom_site_fract_y
_atom_site_fract_z
Li1 Li 0.0000 0.5000 0.5000
Li2 Li 0.0000 0.5000 0.0000
Cl1 Cl 0.3236 0.5010 0.6550
Cl2 Cl 0.1838 0.8065 0.6271
Cl3 Cl 0.0010 0.8236 0.1550
Cl4 Cl 0.6935 0.3162 0.8729
Cl5 Cl 0.8162 0.1935 0.3729
Cl6 Cl 0.6764 0.4990 0.3450
Cl7 Cl 0.3065 0.6838 0.1271
Cl8 Cl 0.9990 0.1764 0.8450
I1 I 0.5000 0.5000 0.5000
I2 I 0.0000 0.0000 0.0000
Cs1 Cs 0.5000 0.5000 0.0000
Cs2 Cs 0.5000 0.0000 0.0000
Cs3 Cs 0.0000 0.0000 0.5000
Cs4 Cs 0.5000 0.0000 0.5000
```

---

The following is a PBE-GGA calculation of an optimized crystal structure of EuClO, from the Alexandria database.

**Density of states at the Fermi level**: 4.91 states/eV/f.u.
**ΔE_f (raw)**: -1965 meV per atom
**Total DFT energy (no corrections)**: -22.97 eV for the cell shown

```
data_EuClO
_cell_length_a 4.4153
_cell_length_b 4.4153
_cell_length_c 4.4153
_cell_angle_alpha 60.00
_cell_angle_beta 60.00
_cell_angle_gamma 60.00
_space_group_name_H-M_alt 'P 1'
_space_group_IT_number 1
_space_group_name_Hall 'P 1'
loop_
_atom_site_label
_atom_site_type_symbol
_atom_site_fract_x
_atom_site_fract_y
_atom_site_fract_z
Eu1 Eu 0.2500 0.2500 0.2500
O1 O 0.5000 0.5000 0.5000
Cl1 Cl 0.0000 0.0000 0.0000
```

---

The following is a PBE-GGA calculation of an optimized crystal structure of CrTe3Se, from the Alexandria database.

**Density of states at the Fermi level**: 7.86 states/eV/f.u.
**ΔE_f (raw)**: 453 meV per atom
**Total DFT energy (no corrections)**: -20.27 eV for the cell shown
**Energy above the most stable polymorph in this dataset**: 0 meV per atom

```
data_CrTe3Se
_cell_length_a 5.0701
_cell_length_b 5.0701
_cell_length_c 5.0701
_cell_angle_alpha 90.00
_cell_angle_beta 90.00
_cell_angle_gamma 90.00
_space_group_name_H-M_alt 'P 1'
_space_group_IT_number 1
_space_group_name_Hall 'P 1'
loop_
_atom_site_label
_atom_site_type_symbol
_atom_site_fract_x
_atom_site_fract_y
_atom_site_fract_z
Te1 Te 0.5000 0.0000 0.0000
Te2 Te 0.0000 0.0000 0.5000
Te3 Te 0.0000 0.5000 0.0000
Se1 Se 0.5000 0.5000 0.5000
Cr1 Cr 0.0000 0.0000 0.0000
```

---

The following is a PBE-GGA calculation of an optimized crystal structure of KGaTc3, from the Alexandria database.

**Density of states at the Fermi level**: 6.43 states/eV/f.u.
**Formation enthalpy at 0 K**: 2.99 eV per atom
**Total DFT energy (no corrections)**: -20.26 eV for the cell shown
**Energy above the most stable polymorph in this dataset**: 1284 meV per atom

```
data_KGaTc3
_cell_length_a 4.5399
_cell_length_b 4.5399
_cell_length_c 4.5399
_cell_angle_alpha 90.00
_cell_angle_beta 90.00
_cell_angle_gamma 90.00
_space_group_name_H-M_alt 'P 1'
_space_group_IT_number 1
_space_group_name_Hall 'P 1'
loop_
_atom_site_label
_atom_site_type_symbol
_atom_site_fract_x
_atom_site_fract_y
_atom_site_fract_z
Tc1 Tc 0.0000 0.0000 0.5000
Tc2 Tc 0.5000 0.0000 0.0000
Tc3 Tc 0.0000 0.5000 0.0000
K1 K 0.0000 0.0000 0.0000
Ga1 Ga 0.5000 0.5000 0.5000
```